1.
DFT (GGA-PBE) results for crystalline Rb3CaCu2Br9 at its relaxed geometry.

Cell and atoms, written as extended XYZ:
```
15
Lattice="-4.6913 -3.3292 -4.9370 7.4110 -1.5873 -0.1519 -1.3833 -7.0386 6.0608" Properties=species:S:1:pos:R:3 pbc="T T T"
Rb 0.0000 0.0000 0.0000
Br 3.7055 -0.7937 -0.0760
Ca -0.6917 -3.5193 3.0304
Br 1.3599 -2.4582 -2.5445
Br -2.3457 -1.6646 -2.4685
Br 0.0171 -8.5919 -0.0423
Br 2.6228 -5.7196 -1.4248
Rb -1.1115 -5.0600 -1.3516
Br 4.8713 -4.1240 0.9414
Br -3.5349 -7.8312 0.0305
Br -1.2864 -6.2355 2.3967
Cu -1.8259 -8.6953 1.7787
Cu 3.1623 -3.2598 -0.8067
Rb 2.4479 -6.8951 2.3235
Br 1.3193 -3.3632 1.0143
```

Mass density: 4.1 Mg/m³
Formation energy without anion corrections: -17.677 eV/f.u.
VASP energy: -3.06 eV/atom
Total moment: 0.00 μB per cell

***

2.
DFT (GGA-PBE) results for crystalline Rb2CaCuBr6 at its relaxed geometry.

Cell and atoms, written as extended XYZ:
```
10
Lattice="-3.2945 -4.0967 1.9066 2.4389 -3.5985 -3.5178 7.2819 -2.3754 7.4785" Properties=species:S:1:pos:R:3 pbc="T T T"
Br 4.8604 -2.9869 1.9804
Br -1.6472 -2.0484 0.9533
Ca -0.4278 -3.8476 -0.8056
Rb 5.2840 -1.7236 5.4266
Br 1.2195 -1.7992 -1.7589
Rb 1.9979 -0.6517 2.0518
Br 4.8640 -5.5738 4.6290
Cu 3.2132 -5.0353 2.9337
Br 1.9937 -3.2360 4.6926
Br 1.5624 -4.4968 1.2383
```

Mass density: 3.7 Mg/m³
Formation energy without anion corrections: -13.582 eV/f.u.
VASP energy: -3.17 eV/atom
Total moment: 0.87 μB per cell

***

3.
DFT (GGA-PBE) results for crystalline RbCaCuBr4 at its relaxed geometry.

Cell and atoms, written as extended XYZ:
```
14
Lattice="-0.5403 -4.0533 5.4125 6.0939 -3.7056 -2.1667 5.3051 7.4899 2.1109" Properties=species:S:1:pos:R:3 pbc="T T T"
Rb 1.6739 -1.4915 0.8480
Br 3.4328 0.0102 3.2264
Br 5.7045 3.0583 4.4028
Br 5.1541 -3.3273 0.9540
Br 6.8289 3.3280 0.5311
Cu 6.1834 -1.2243 0.2522
Rb 9.1847 1.2226 4.5087
Cu 4.6752 0.9553 5.1045
Ca 4.3504 2.3285 1.8424
Br 1.0597 -1.7909 5.8816
Ca 6.5083 -2.5974 3.5144
Br 9.7989 1.5220 -0.5249
Br 7.4259 -0.2792 2.1303
Br 4.0298 -3.5970 4.8256
```

Mass density: 3.8 Mg/m³
Formation energy without anion corrections: -10.031 eV/f.u.
VASP energy: -3.40 eV/atom
Total moment: 0.27 μB per cell

***

4.
DFT (GGA-PBE) results for crystalline CaCu2RhBr at its relaxed geometry.

Cell and atoms, written as extended XYZ:
```
5
Lattice="-3.5578 3.2929 1.7553 -2.7761 -0.9444 -3.8552 -2.2787 -3.8378 2.5809" Properties=species:S:1:pos:R:3 pbc="T T T"
Rh -1.3880 -0.4722 -1.9276
Ca 0.0000 0.0000 0.0000
Cu -1.7789 1.6464 0.8777
Cu -1.1393 -1.9189 1.2905
Br -4.3063 -0.7446 0.2405
```

Mass density: 4.5 Mg/m³
Formation energy without anion corrections: 5.902 eV/f.u.
VASP energy: -2.66 eV/atom
Total moment: 0.00 μB per cell

***

5.
DFT (GGA-PBE) results for crystalline CaCuRhBr2 at its relaxed geometry.

Cell and atoms, written as extended XYZ:
```
5
Lattice="5.4825 0.0000 0.0000 0.0000 5.2447 0.0000 0.0000 0.0000 5.4825" Properties=species:S:1:pos:R:3 pbc="T T T"
Br 0.0000 0.0000 2.7413
Ca 0.0000 0.0000 0.0000
Rh 0.0000 2.6223 0.0000
Br 2.7413 0.0000 0.0000
Cu 2.7413 2.6223 2.7413
```

Mass density: 3.9 Mg/m³
Formation energy without anion corrections: 1.828 eV/f.u.
VASP energy: -2.99 eV/atom
Total moment: 0.79 μB per cell

***

6.
DFT (GGA-PBE) results for crystalline CaCuRuBr2 at its relaxed geometry.

Cell and atoms, written as extended XYZ:
```
5
Lattice="-1.4912 -1.0395 4.5546 3.4516 -4.7002 0.0574 3.6607 2.7104 1.8171" Properties=species:S:1:pos:R:3 pbc="T T T"
Ru 0.0000 0.0000 0.0000
Br -0.7456 -0.5197 2.2773
Ca 1.7258 -2.3501 0.0287
Cu 2.8105 -1.5147 3.2145
Br 1.8303 1.3552 0.9086
```

Mass density: 4.3 Mg/m³
Formation energy without anion corrections: 1.500 eV/f.u.
VASP energy: -3.44 eV/atom
Total moment: 1.40 μB per cell

***

7.
DFT (GGA-PBE) results for crystalline Ca2CuRuBr at its relaxed geometry.

Cell and atoms, written as extended XYZ:
```
5
Lattice="5.5055 0.0000 0.0000 0.0000 4.7114 0.0000 0.0000 0.0000 5.5055" Properties=species:S:1:pos:R:3 pbc="T T T"
Ca 2.7527 0.0000 0.0000
Br 0.0000 2.3557 0.0000
Ca 0.0000 0.0000 2.7527
Ru 2.7527 2.3557 2.7527
Cu 0.0000 0.0000 0.0000
```

Mass density: 3.8 Mg/m³
Formation energy without anion corrections: 3.079 eV/f.u.
VASP energy: -3.19 eV/atom
Total moment: 1.89 μB per cell

***

8.
DFT (GGA-PBE) results for crystalline Ca2CuSeBr at its relaxed geometry.

Cell and atoms, written as extended XYZ:
```
5
Lattice="5.5410 0.0000 0.0000 0.0000 4.6424 0.0000 0.0000 0.0000 5.5410" Properties=species:S:1:pos:R:3 pbc="T T T"
Ca 0.0000 0.0000 2.7705
Br 0.0000 2.3212 0.0000
Cu 0.0000 0.0000 0.0000
Se 2.7705 2.3212 2.7705
Ca 2.7705 0.0000 0.0000
```

Mass density: 3.5 Mg/m³
Formation energy without anion corrections: -2.699 eV/f.u.
VASP energy: -3.19 eV/atom
Total moment: 0.00 μB per cell

***

9.
DFT (GGA-PBE) results for crystalline CaCuSnBr5 at its relaxed geometry.

Cell and atoms, written as extended XYZ:
```
16
Lattice="-7.0425 -2.8022 -0.3094 4.2413 -4.4961 -4.3978 3.2136 -2.0361 9.7130" Properties=species:S:1:pos:R:3 pbc="T T T"
Sn 0.9150 -4.3852 -0.4733
Br -3.3031 -2.7501 2.9201
Br 5.1475 -4.7956 5.2970
Br -4.7351 -4.5388 -0.2912
Br -1.0287 -5.6191 1.3870
Br -3.4296 -4.5098 6.5396
Br 3.8420 -4.8246 -1.5338
Cu 3.0895 -5.4885 4.1776
Br -1.3577 -2.5183 -0.8058
Cu -2.6771 -3.8459 0.8282
Br 3.7154 -6.5843 2.0857
Ca 1.6068 -1.0181 4.8565
Sn -0.5026 -4.9492 5.4791
Ca 0.0000 0.0000 0.0000
Br 1.7701 -6.8161 5.8116
Br 1.4411 -3.7153 3.6188
```

Mass density: 3.9 Mg/m³
Formation energy without anion corrections: -8.351 eV/f.u.
VASP energy: -3.35 eV/atom
Total moment: 0.31 μB per cell

***

10.
DFT (GGA-PBE) results for crystalline Ca3TlCu4Br12 at its relaxed geometry.

Cell and atoms, written as extended XYZ:
```
20
Lattice="9.2938 -0.1178 -0.1637 -2.3536 8.9917 -0.1637 -2.3536 -3.0094 8.4747" Properties=species:S:1:pos:R:3 pbc="T T T"
Br -3.1594 3.5386 6.4274
Br 2.2933 -1.9380 7.5793
Br 7.0200 4.1057 0.5681
Ca 2.7838 -1.7340 4.6645
Br 0.3910 8.0782 1.7199
Tl 0.0000 0.0000 0.0000
Br -2.4334 6.6290 4.0737
Cu 2.2933 8.0811 0.3676
Br 5.5866 -1.8684 5.3958
Ca 4.1564 3.9002 -0.1637
Br 4.1956 6.7977 -0.0590
Br -1.0000 0.1547 8.2064
Br 4.1493 3.3930 2.6972
Ca -2.3536 3.6983 3.6465
Cu -2.7038 1.6917 7.7798
Br 0.4373 4.3838 4.0737
Cu 2.2933 2.9322 4.0737
Br 7.7460 0.8927 2.7516
Cu 7.2904 -0.9760 4.0737
Br 2.2933 1.0199 5.4502
```

Mass density: 3.7 Mg/m³
Formation energy without anion corrections: -21.704 eV/f.u.
VASP energy: -3.33 eV/atom
Total moment: 1.18 μB per cell

***

11.
DFT (GGA-PBE) results for crystalline CaDyBr6 at its relaxed geometry.

Cell and atoms, written as extended XYZ:
```
8
Lattice="-4.0390 -5.5958 -1.7070 1.3127 -3.6944 -5.9665 3.5188 -6.7089 0.5428" Properties=species:S:1:pos:R:3 pbc="T T T"
Br 0.9652 -6.5563 -5.8753
Br -1.2793 -5.9775 -2.6050
Dy 0.3963 -7.9995 -3.5654
Ca 0.0000 0.0000 0.0000
Br -1.8563 -9.2113 -4.8194
Br 2.0719 -10.0215 -4.5257
Br -0.1726 -9.4427 -1.2554
Br 2.6489 -6.7877 -2.3114
```

Mass density: 4.0 Mg/m³
Formation energy without anion corrections: -12.406 eV/f.u.
VASP energy: -3.63 eV/atom
Total moment: 1.06 μB per cell

***

12.
DFT (GGA-PBE) results for crystalline Ca2DyBr at its relaxed geometry.

Cell and atoms, written as extended XYZ:
```
4
Lattice="3.7913 0.0000 0.0000 1.8957 3.2834 0.0000 1.8957 1.0945 10.4539" Properties=species:S:1:pos:R:3 pbc="T T T"
Ca 5.6870 3.2834 8.1756
Dy 3.7913 2.1889 5.2269
Br 0.0000 0.0000 0.0000
Ca 1.8957 1.0945 2.2783
```

Mass density: 4.1 Mg/m³
Formation energy without anion corrections: -2.535 eV/f.u.
VASP energy: -3.20 eV/atom
Total moment: 0.00 μB per cell

***

13.
DFT (GGA-PBE) results for crystalline CaDyInBr6 at its relaxed geometry.

Cell and atoms, written as extended XYZ:
```
18
Lattice="-4.0103 -3.5284 5.1737 -2.3488 0.1629 -7.0538 7.2006 -12.1096 -2.6773" Properties=species:S:1:pos:R:3 pbc="T T T"
Br 0.2702 -5.6547 -1.6012
Br 3.6689 -7.6859 -4.2804
Br 0.0349 -6.6469 2.2542
Br -3.8361 -5.0893 2.1984
In 3.6003 -6.0548 -1.3386
Dy 2.4979 -10.1498 -4.9859
Br -2.8273 -7.7893 -0.2770
Dy -1.6563 -5.3254 0.4286
Br 3.8874 -11.6719 -3.0645
Br -3.0458 -3.8033 -1.4929
In 0.0000 0.0000 0.0000
Ca -1.1024 -4.0950 -3.6473
Br -0.5336 -2.9689 1.4898
Br 0.5714 -9.8205 -2.9561
Ca 1.9440 -11.3802 -0.9101
Br 4.6777 -10.3859 -6.7558
Br 0.8067 -8.8283 -6.8115
Br 1.3752 -12.5063 -6.0472
```

Mass density: 3.9 Mg/m³
Formation energy without anion corrections: -15.050 eV/f.u.
VASP energy: -3.83 eV/atom
Total moment: 0.00 μB per cell

***

14.
DFT (GGA-PBE) results for crystalline KCa2DyBr8 at its relaxed geometry.

Cell and atoms, written as extended XYZ:
```
12
Lattice="7.0479 0.0027 -0.0043 0.0468 6.6903 -0.0067 0.0067 0.0112 9.0492" Properties=species:S:1:pos:R:3 pbc="T T T"
Br 5.9031 1.6191 7.0711
Br 1.1983 5.0852 1.9671
Br 2.3240 1.7282 -0.0027
Br 2.6250 1.8062 4.5217
Br 4.7774 4.9760 9.0409
Dy 0.0000 0.0000 0.0000
Br 1.2034 5.0926 7.0709
Br 5.8980 1.6116 1.9673
Ca 3.5489 3.3494 2.2652
K 0.0033 0.0056 4.5246
Br 4.4764 4.8981 4.5165
Ca 3.5525 3.3548 6.7730
```

Mass density: 3.6 Mg/m³
Formation energy without anion corrections: -22.862 eV/f.u.
VASP energy: -3.83 eV/atom
Total moment: 0.00 μB per cell

***

15.
DFT (GGA-PBE) results for crystalline LiCaDyBr6 at its relaxed geometry.

Cell and atoms, written as extended XYZ:
```
18
Lattice="7.1821 0.0000 0.0000 -3.5910 6.2199 0.0000 0.0000 0.0000 12.7463" Properties=species:S:1:pos:R:3 pbc="T T T"
Br 1.1549 2.1350 11.1533
Ca 0.0000 4.1466 3.1866
Br 5.9106 2.0677 1.5930
Br -1.1549 2.1350 7.9661
Br -2.3195 4.1521 11.1533
Dy 0.0000 4.1466 9.5597
Ca 3.5910 2.0733 9.5597
Li 0.0000 0.0000 6.3732
Br 2.4361 4.0848 1.5930
Br 2.3195 4.1521 7.9661
Br 1.1646 6.1526 11.1533
Br 4.7460 4.0848 4.7802
Br 2.4265 0.0673 1.5930
Li 0.0000 0.0000 0.0000
Dy 3.5910 2.0733 3.1866
Br 1.2715 2.0677 4.7802
Br -1.1646 6.1526 7.9661
Br 4.7556 0.0673 4.7802
```

Mass density: 4.0 Mg/m³
Formation energy without anion corrections: -16.413 eV/f.u.
VASP energy: -3.89 eV/atom
Total moment: 0.00 μB per cell

***

16.
DFT (GGA-PBE) results for crystalline Ca2DyBr2N2 at its relaxed geometry.

Cell and atoms, written as extended XYZ:
```
7
Lattice="4.4163 0.0000 0.0000 0.0000 4.4163 0.0000 -2.2081 -2.2081 7.8246" Properties=species:S:1:pos:R:3 pbc="T T T"
Br 0.0000 0.0000 2.9031
Ca 2.2081 2.2081 1.5627
N 0.0000 2.2081 0.0000
N 2.2081 0.0000 0.0000
Ca 0.0000 0.0000 6.2620
Dy 0.0000 0.0000 0.0000
Br 2.2081 2.2081 4.9215
```

Mass density: 4.7 Mg/m³
Formation energy without anion corrections: -9.053 eV/f.u.
VASP energy: -5.38 eV/atom
Total moment: 0.23 μB per cell

***

17.
DFT (GGA-PBE) results for crystalline NaCa2DyBr8 at its relaxed geometry.

Cell and atoms, written as extended XYZ:
```
12
Lattice="6.9224 -0.0312 -0.0046 0.0050 6.7152 -0.0077 0.0055 0.0100 8.7762" Properties=species:S:1:pos:R:3 pbc="T T T"
Br 2.2284 1.8205 8.7724
Br 1.2068 5.2298 2.0350
Br 4.7044 4.8734 -0.0086
Br 2.2676 1.8793 4.3844
Br 5.7233 1.4590 2.0363
Na 0.0028 0.0050 4.3881
Br 4.6652 4.8147 4.3795
Ca 3.4651 3.3444 2.2535
Br 1.2095 5.2349 6.7275
Dy 0.0000 0.0000 0.0000
Br 5.7261 1.4642 6.7288
Ca 3.4678 3.3495 6.5104
```

Mass density: 3.7 Mg/m³
Formation energy without anion corrections: -22.575 eV/f.u.
VASP energy: -3.82 eV/atom
Total moment: 0.00 μB per cell

***

18.
DFT (GGA-PBE) results for crystalline NaCaDyBr6 at its relaxed geometry.

Cell and atoms, written as extended XYZ:
```
18
Lattice="7.3241 0.0000 0.0000 -3.6620 6.3428 0.0000 0.0000 0.0000 13.2953" Properties=species:S:1:pos:R:3 pbc="T T T"
Na 0.0000 0.0000 6.6476
Br 4.8945 4.0738 4.9255
Br 2.3132 4.1410 8.3698
Br 1.3488 2.2019 4.9255
Ca 0.0000 4.2285 3.3238
Br -1.0808 6.2757 8.3698
Dy 0.0000 4.2285 9.9715
Br -2.3132 4.1410 11.5732
Br 5.9753 2.2019 1.7221
Br 2.5813 0.0672 1.7221
Br 2.4296 4.0738 1.7221
Dy 3.6620 2.1143 3.3238
Br 4.7428 0.0672 4.9255
Na 0.0000 0.0000 0.0000
Br 1.0808 6.2757 11.5732
Ca 3.6620 2.1143 9.9715
Br 1.2325 2.2690 11.5732
Br -1.2325 2.2690 8.3698
```

Mass density: 3.8 Mg/m³
Formation energy without anion corrections: -16.751 eV/f.u.
VASP energy: -3.86 eV/atom
Total moment: 0.00 μB per cell

***

19.
DFT (GGA-PBE) results for crystalline Rb2CaDyBr6 at its relaxed geometry.

Cell and atoms, written as extended XYZ:
```
20
Lattice="-6.1684 -4.5019 2.5943 2.9840 0.2368 7.5058 -6.0296 9.4707 2.0983" Properties=species:S:1:pos:R:3 pbc="T T T"
Rb -5.3709 5.0503 8.5300
Br 1.4513 -0.8792 8.1385
Br -4.5663 3.6004 1.7136
Dy 2.2405 0.1778 5.6358
Br -3.1349 -3.2656 5.7311
Br -3.0874 3.7189 5.4279
Rb -3.7737 7.1416 3.4204
Ca -0.7805 4.9126 6.6692
Br -6.1484 1.4849 6.7153
Dy -5.3555 2.5434 4.2164
Br -1.6598 -3.1498 9.4470
Br -6.8522 4.8897 4.7293
Rb -2.3309 0.2753 7.4721
Rb -0.7841 2.4459 2.3800
Br -7.6235 1.3691 2.9994
Ca -2.3345 -2.1915 3.1830
Br -3.8643 0.1966 3.6895
Br -0.0276 -0.9978 4.4242
Br -2.2923 7.3021 7.2211
Br 0.7493 2.5246 6.1626
```

Mass density: 3.8 Mg/m³
Formation energy without anion corrections: -17.176 eV/f.u.
VASP energy: -3.58 eV/atom
Total moment: 1.34 μB per cell

***

20.
DFT (GGA-PBE) results for crystalline RbCaDyBr6 at its relaxed geometry.

Cell and atoms, written as extended XYZ:
```
18
Lattice="7.4838 0.0000 0.0000 -3.7419 6.4812 0.0000 0.0000 0.0000 15.0740" Properties=species:S:1:pos:R:3 pbc="T T T"
Br 6.0281 2.3889 2.1356
Dy 3.7419 2.1604 3.7685
Br 2.7967 0.0663 2.1356
Dy 0.0000 4.3208 11.3055
Ca 3.7419 2.1604 11.3055
Br 2.4009 4.0260 2.1356
Br 5.0829 4.0260 5.4014
Br -2.2862 4.0923 12.9384
Rb 0.0000 0.0000 7.5370
Br -0.9452 6.4149 9.6726
Br 0.9452 6.4149 12.9384
Rb 0.0000 0.0000 0.0000
Br 2.2862 4.0923 9.6726
Br -1.3410 2.4552 9.6726
Br 1.3410 2.4552 12.9384
Ca 0.0000 4.3208 3.7685
Br 4.6871 0.0663 5.4014
Br 1.4557 2.3889 5.4014
```

Mass density: 3.5 Mg/m³
Formation energy without anion corrections: -17.431 eV/f.u.
VASP energy: -3.89 eV/atom
Total moment: 0.00 μB per cell